Density functional theory data (GGA-PBE) for crystalline AcLa5Tl2 at its relaxed geometry.

```
data_AcLa5Tl2
_chemical_formula_sum 'Ac2 La10 Tl4'
_cell_length_a 7.243
_cell_length_b 14.470
_cell_length_c 5.119
_cell_angle_alpha 90.00
_cell_angle_beta 90.00
_cell_angle_gamma 90.00
_symmetry_space_group_name_H-M 'P b a m'
_symmetry_Int_Tables_number 55
loop_
_symmetry_equiv_pos_as_xyz
'x,y,z'
'-x,-y,-z'
'-x,-y,z'
'x,y,-z'
'x+1/2,-y+1/2,-z'
'-x+1/2,y+1/2,z'
'-x+1/2,y+1/2,-z'
'x+1/2,-y+1/2,z'
loop_
_atom_site_label
_atom_site_type_symbol
_atom_site_fract_x
_atom_site_fract_y
_atom_site_fract_z
_atom_site_occupancy
Ac1 Ac 0.000 0.000 0.000 1
La1 La 0.000 0.500 0.000 1
La2 La 0.003 0.251 0.000 1
La3 La 0.243 0.371 0.500 1
Tl1 Tl 0.247 0.626 0.500 1
```

spin magnetization: 0.0 μB/cell
final energy: -4.4042 eV/atom
E above lowest polymorph: 0 meV/atom